# 1
# ZrAgGe2 meta-GGA SCAN PBEsol geometry
# Theoretical density, kg/m³: 8010
# Calculated volume, Å³/cell: 285.6
# ΔE_f, eV/atom: -0.044
data_ZrAgGe2
_symmetry_space_group_name_H-M 'F m -3 m'
_symmetry_Int_Tables_number 225
_symmetry_space_group_name_Hall '-F 4 2 3'
_cell_length_a 6.585
_cell_length_b 6.585
_cell_length_c 6.585
_cell_angle_alpha 90.00
_cell_angle_beta 90.00
_cell_angle_gamma 90.00
loop_
_atom_site_label
_atom_site_type_symbol
_atom_site_fract_x
_atom_site_fract_y
_atom_site_fract_z
Zr1 Zr 0.000 0.000 0.000
Ag1 Ag 0.000 0.000 0.500
Ge1 Ge 0.250 0.250 0.250



# 2
# KCd4Si meta-GGA SCAN PBEsol geometry
# Theoretical density, kg/m³: 6035
# Calculated volume, Å³/cell: 568.9
# Formation energy from raw total energies, eV/atom: 0.252
data_KCd4Si
_symmetry_space_group_name_H-M 'F -4 3 m'
_symmetry_Int_Tables_number 216
_symmetry_space_group_name_Hall 'F -4 2 3'
_cell_length_a 8.286
_cell_length_b 8.286
_cell_length_c 8.286
_cell_angle_alpha 90.00
_cell_angle_beta 90.00
_cell_angle_gamma 90.00
loop_
_atom_site_label
_atom_site_type_symbol
_atom_site_fract_x
_atom_site_fract_y
_atom_site_fract_z
K1 K 0.000 0.000 0.000
Cd1 Cd 0.125 0.125 0.375
Si1 Si 0.250 0.250 0.750



# 3
# CaRuSeBr2 meta-GGA SCAN PBEsol geometry
# Theoretical density, kg/m³: 5201
# Calculated volume, Å³/cell: 121.3
# Formation energy from raw total energies, eV/atom: -0.607
data_CaRuSeBr2
_symmetry_space_group_name_H-M 'P 4/m m m'
_symmetry_Int_Tables_number 123
_symmetry_space_group_name_Hall '-P 4 2'
_cell_length_a 5.038
_cell_length_b 5.038
_cell_length_c 4.780
_cell_angle_alpha 90.00
_cell_angle_beta 90.00
_cell_angle_gamma 90.00
loop_
_atom_site_label
_atom_site_type_symbol
_atom_site_fract_x
_atom_site_fract_y
_atom_site_fract_z
Ca1 Ca 0.000 0.000 0.000
Ru1 Ru 0.500 0.500 0.500
Se1 Se 0.500 0.500 0.000
Br1 Br 0.000 0.500 0.500



# 4
# ScZn meta-GGA SCAN PBEsol geometry
# Theoretical density, kg/m³: 4960
# Calculated volume, Å³/cell: 147.8
# ΔE_f, eV/atom: -0.396
data_ScZn
_symmetry_space_group_name_H-M 'C m c m'
_symmetry_Int_Tables_number 63
_symmetry_space_group_name_Hall '-C 2c 2'
_cell_length_a 3.291
_cell_length_b 10.520
_cell_length_c 4.269
_cell_angle_alpha 90.00
_cell_angle_beta 90.00
_cell_angle_gamma 90.00
loop_
_atom_site_label
_atom_site_type_symbol
_atom_site_fract_x
_atom_site_fract_y
_atom_site_fract_z
Sc1 Sc 0.000 0.157 0.250
Zn1 Zn 0.000 0.429 0.250



# 5
# LiSi2Os meta-GGA SCAN PBEsol geometry
# Theoretical density, kg/m³: 7140
# Calculated volume, Å³/cell: 58.9
# Formation energy from raw total energies, eV/atom: -0.192
data_LiSi2Os
_symmetry_space_group_name_H-M 'P 4/m m m'
_symmetry_Int_Tables_number 123
_symmetry_space_group_name_Hall '-P 4 2'
_cell_length_a 2.892
_cell_length_b 2.892
_cell_length_c 7.045
_cell_angle_alpha 90.00
_cell_angle_beta 90.00
_cell_angle_gamma 90.00
loop_
_atom_site_label
_atom_site_type_symbol
_atom_site_fract_x
_atom_site_fract_y
_atom_site_fract_z
Li1 Li 0.000 0.000 0.000
Si1 Si 0.500 0.500 0.289
Os1 Os 0.000 0.000 0.500



# 6
# FeNi2Ir meta-GGA SCAN PBEsol geometry
# Theoretical density, kg/m³: 13027
# Calculated volume, Å³/cell: 93.2
# ΔE_f, eV/atom: -0.060
data_FeNi2Ir
_symmetry_space_group_name_H-M 'C 1 2/m 1'
_symmetry_Int_Tables_number 12
_symmetry_space_group_name_Hall '-C 2y'
_cell_length_a 8.425
_cell_length_b 2.574
_cell_length_c 4.374
_cell_angle_alpha 90.00
_cell_angle_beta 100.79
_cell_angle_gamma 90.00
loop_
_atom_site_label
_atom_site_type_symbol
_atom_site_fract_x
_atom_site_fract_y
_atom_site_fract_z
Fe1 Fe 0.000 0.000 0.000
Ni1 Ni 0.249 0.500 0.246
Ir1 Ir 0.000 0.500 0.500



# 7
# MnCoAs2Br meta-GGA SCAN PBEsol geometry
# Theoretical density, kg/m³: 5698
# Calculated volume, Å³/cell: 100.1
# Formation energy from raw total energies, eV/atom: 0.346
data_MnCoAs2Br
_symmetry_space_group_name_H-M 'P 4/m m m'
_symmetry_Int_Tables_number 123
_symmetry_space_group_name_Hall '-P 4 2'
_cell_length_a 4.431
_cell_length_b 4.431
_cell_length_c 5.099
_cell_angle_alpha 90.00
_cell_angle_beta 90.00
_cell_angle_gamma 90.00
loop_
_atom_site_label
_atom_site_type_symbol
_atom_site_fract_x
_atom_site_fract_y
_atom_site_fract_z
Mn1 Mn 0.000 0.000 0.000
Co1 Co 0.500 0.500 0.500
As1 As 0.000 0.500 0.500
Br1 Br 0.500 0.500 0.000



# 8
# GaAg3 meta-GGA SCAN PBEsol geometry
# Theoretical density, kg/m³: 9987
# Calculated volume, Å³/cell: 65.4
# ΔE_f, eV/atom: 0.009
data_GaAg3
_symmetry_space_group_name_H-M 'P -6 m 2'
_symmetry_Int_Tables_number 187
_symmetry_space_group_name_Hall 'P -6 2'
_cell_length_a 2.9022
_cell_length_b 2.9022
_cell_length_c 8.9661
_cell_angle_alpha 90.00
_cell_angle_beta 90.00
_cell_angle_gamma 120.00
loop_
_atom_site_label
_atom_site_type_symbol
_atom_site_fract_x
_atom_site_fract_y
_atom_site_fract_z
Ga1 Ga 0.0000 0.0000 0.0000
Ag1 Ag 0.0000 0.0000 0.5000
Ag2 Ag 0.3333 0.6667 0.2412



> Which value of theoretical density does entry 6 give?

13027 kg/m³



> The highest calculated volume belongs to which entry?

KCd4Si



> theoretical density of number 2 (KCd4Si)?

6035 kg/m³



> Look up the theoretical density of the third one.

5201 kg/m³